[1]
! PBE Sc2VSe4, optimized geometry; values from VASP
&SYSTEM
  ibrav = 0, nat = 14, ntyp = 3
/
ATOMIC_SPECIES
Sc 44.96 Sc.upf
V 50.94 V.upf
Se 78.96 Se.upf
CELL_PARAMETERS angstrom
13.8056 0.0000 0.0000
0.0000 3.8215 0.0000
-3.1645 0.0000 5.9278
ATOMIC_POSITIONS angstrom
Sc 2.5800 0.0000 1.3117
Sc 1.1583 1.9107 4.6160
Sc 9.4828 1.9107 1.3117
Sc 8.0611 0.0000 4.6160
V -1.5823 1.9107 2.9639
V 5.3206 0.0000 2.9639
Se -1.3697 1.9107 5.5604
Se 0.2507 0.0000 2.7999
Se 3.4876 1.9107 3.1279
Se 5.1080 0.0000 0.3674
Se 5.5331 0.0000 5.5604
Se 7.1535 1.9107 2.7999
Se 10.3904 0.0000 3.1279
Se 12.0108 1.9107 0.3674
! - raw formation energy (eV per atom) = -1.371


[2]
! PBE Ca2NdZn, optimized geometry; values from VASP
&SYSTEM
  ibrav = 0, nat = 12, ntyp = 3
/
ATOMIC_SPECIES
Ca 40.08 Ca.upf
Nd 144.24 Nd.upf
Zn 65.41 Zn.upf
CELL_PARAMETERS angstrom
3.6320 0.0000 0.0000
-1.8160 3.1454 0.0000
0.0000 0.0000 35.1293
ATOMIC_POSITIONS angstrom
Ca 0.0000 0.0000 3.5717
Ca 0.0000 0.0000 31.5576
Ca 0.0000 2.0969 19.8478
Ca 0.0000 2.0969 26.9913
Ca 1.8160 1.0485 8.1380
Ca 1.8160 1.0485 15.2815
Nd 0.0000 0.0000 0.0000
Nd 0.0000 2.0969 23.4195
Nd 1.8160 1.0485 11.7098
Zn 0.0000 0.0000 17.5646
Zn 0.0000 2.0969 5.8549
Zn 1.8160 1.0485 29.2744
! - energy of formation (meV per atom) = 143
! - E above lowest polymorph (meV per atom) = 199.1


Number 1: size of the total moment 2.948 μB per formula unit, calculated density 4.85 g/cm³. Number 2: size of the total moment 0.000 μB per formula unit, calculated density 3.60 g/cm³.